1.
{"formula": "CsTaIn", "functional": "PBE", "state": "relaxed", "lattice_angstrom": [[0.000, 3.642, 3.642], [3.642, 0.000, 3.642], [3.642, 3.642, 0.000]], "species": ["Cs", "Ta", "In"], "fractional_positions": [[0.000, 0.000, 0.000], [0.250, 0.250, 0.250], [0.500, 0.500, 0.500]], "relative_energy_kj_per_mol_fu": 0, "magmom_total_mub_per_fu": 1.05}

=====

2.
{"formula": "CsTbInTe3", "functional": "PBE", "state": "relaxed", "lattice_angstrom": [[2.295, -8.558, 0.000], [2.295, 8.558, 0.000], [0.000, 0.000, 12.351]], "species": ["Cs", "Cs", "Tb", "Tb", "In", "In", "Te", "Te", "Te", "Te", "Te", "Te"], "fractional_positions": [[0.247, 0.753, 0.750], [0.753, 0.247, 0.250], [0.500, 0.500, 0.000], [0.500, 0.500, 0.500], [0.059, 0.941, 0.250], [0.941, 0.059, 0.750], [0.123, 0.877, 0.027], [0.123, 0.877, 0.473], [0.450, 0.550, 0.250], [0.550, 0.450, 0.750], [0.877, 0.123, 0.527], [0.877, 0.123, 0.973]], "relative_energy_kj_per_mol_fu": 36, "magmom_total_mub_per_fu": 0.01}

=====

3.
{"formula": "CsTbInTe3", "functional": "PBE", "state": "relaxed", "lattice_angstrom": [[17.917, 0.000, 0.000], [0.000, 4.369, 0.000], [0.000, 0.000, 12.651]], "species": ["Cs", "Cs", "Cs", "Cs", "Tb", "Tb", "Tb", "Tb", "In", "In", "In", "In", "Te", "Te", "Te", "Te", "Te", "Te", "Te", "Te", "Te", "Te", "Te", "Te"], "fractional_positions": [[0.225, 0.250, 0.075], [0.275, 0.750, 0.575], [0.725, 0.250, 0.425], [0.775, 0.750, 0.925], [0.009, 0.750, 0.646], [0.491, 0.250, 0.146], [0.509, 0.750, 0.854], [0.991, 0.250, 0.354], [0.026, 0.250, 0.911], [0.474, 0.750, 0.411], [0.526, 0.250, 0.589], [0.974, 0.750, 0.089], [0.089, 0.750, 0.246], [0.103, 0.250, 0.538], [0.125, 0.750, 0.833], [0.375, 0.250, 0.333], [0.397, 0.750, 0.038], [0.411, 0.250, 0.746], [0.589, 0.750, 0.254], [0.603, 0.250, 0.962], [0.625, 0.750, 0.667], [0.875, 0.250, 0.167], [0.897, 0.750, 0.462], [0.911, 0.250, 0.754]], "relative_energy_kj_per_mol_fu": 0, "magmom_total_mub_per_fu": 0.00}

=====

4.
{"formula": "CsTmInTe3", "functional": "PBE", "state": "relaxed", "lattice_angstrom": [[2.266, -8.568, 0.000], [2.266, 8.568, 0.000], [0.000, 0.000, 12.260]], "species": ["Cs", "Cs", "Tm", "Tm", "In", "In", "Te", "Te", "Te", "Te", "Te", "Te"], "fractional_positions": [[0.246, 0.754, 0.750], [0.754, 0.246, 0.250], [0.500, 0.500, 0.000], [0.500, 0.500, 0.500], [0.061, 0.939, 0.250], [0.939, 0.061, 0.750], [0.121, 0.879, 0.022], [0.121, 0.879, 0.478], [0.451, 0.549, 0.250], [0.549, 0.451, 0.750], [0.879, 0.121, 0.522], [0.879, 0.121, 0.978]], "final_energy_ev_per_atom": -3.824, "magmom_total_mub_per_fu": 0.01}

=====

5.
{"formula": "CsThIn", "functional": "PBE", "state": "relaxed", "lattice_angstrom": [[0.000, 3.809, 3.809], [3.809, 0.000, 3.809], [3.809, 3.809, 0.000]], "species": ["Cs", "Th", "In"], "fractional_positions": [[0.000, 0.000, 0.000], [0.250, 0.250, 0.250], [0.750, 0.750, 0.750]], "relative_energy_kj_per_mol_fu": 102, "magmom_total_mub_per_fu": 0.00}

=====

6.
{"formula": "CsThIn", "functional": "PBE", "state": "relaxed", "lattice_angstrom": [[0.000, 4.016, 4.016], [4.016, 0.000, 4.016], [4.016, 4.016, 0.000]], "species": ["Cs", "Th", "In"], "fractional_positions": [[0.000, 0.000, 0.000], [0.500, 0.500, 0.500], [0.250, 0.250, 0.250]], "relative_energy_kj_per_mol_fu": 0, "magmom_total_mub_per_fu": 0.00}

=====

7.
{"formula": "Cs2Zn3In2", "functional": "PBE", "state": "relaxed", "lattice_angstrom": [[2.233, -13.456, 0.000], [2.233, 13.456, 0.000], [-2.118, 0.000, 4.377]], "species": ["Cs", "Cs", "Zn", "Zn", "Zn", "In", "In"], "fractional_positions": [[0.161, 0.839, 0.000], [0.839, 0.161, 0.000], [0.001, 0.001, 0.013], [0.319, 0.419, 0.751], [0.419, 0.319, 0.751], [0.631, 0.749, 0.379], [0.749, 0.631, 0.379]], "final_energy_ev_per_atom": -1.556}

=====

8.
{"formula": "CsIr", "functional": "PBE", "state": "relaxed", "lattice_angstrom": [[0.000, 4.099, 4.099], [4.099, 0.000, 4.099], [4.099, 4.099, 0.000]], "species": ["Cs", "Ir"], "fractional_positions": [[0.000, 0.000, 0.000], [0.750, 0.750, 0.750]], "relative_energy_kj_per_mol_fu": 131, "magmom_total_mub_per_fu": 2.00}

=====

9.
{"formula": "CsIr", "functional": "PBE", "state": "relaxed", "lattice_angstrom": [[3.207, 0.000, 0.000], [-1.603, 2.777, 0.000], [0.000, 0.000, 5.831]], "species": ["Cs", "Ir"], "fractional_positions": [[0.000, 0.000, 0.000], [0.667, 0.333, 0.500]], "relative_energy_kj_per_mol_fu": 0, "magmom_total_mub_per_fu": 0.43}

=====

10.
{"formula": "CsIr", "functional": "PBE", "state": "relaxed", "lattice_angstrom": [[0.000, 3.754, 3.754], [3.754, 0.000, 3.754], [3.754, 3.754, 0.000]], "species": ["Cs", "Ir"], "fractional_positions": [[0.000, 0.000, 0.000], [0.500, 0.500, 0.500]], "relative_energy_kj_per_mol_fu": 116, "magmom_total_mub_per_fu": 2.00}

=====

11.
{"formula": "Cs3Ir", "functional": "PBE", "state": "relaxed", "lattice_angstrom": [[10.230, 0.000, 0.000], [-5.115, 8.860, 0.000], [0.000, 0.000, 10.887]], "species": ["Cs", "Cs", "Cs", "Cs", "Cs", "Cs", "Cs", "Cs", "Cs", "Cs", "Cs", "Cs", "Cs", "Cs", "Cs", "Cs", "Cs", "Cs", "Ir", "Ir", "Ir", "Ir", "Ir", "Ir"], "fractional_positions": [[0.000, 0.000, 0.000], [0.000, 0.000, 0.500], [0.000, 0.274, 0.757], [0.000, 0.386, 0.089], [0.000, 0.614, 0.589], [0.000, 0.726, 0.257], [0.274, 0.000, 0.757], [0.274, 0.274, 0.257], [0.333, 0.667, 0.371], [0.333, 0.667, 0.871], [0.386, 0.000, 0.089], [0.386, 0.386, 0.589], [0.614, 0.000, 0.589], [0.614, 0.614, 0.089], [0.667, 0.333, 0.371], [0.667, 0.333, 0.871], [0.726, 0.000, 0.257], [0.726, 0.726, 0.757], [0.000, 0.324, 0.425], [0.000, 0.676, 0.925], [0.324, 0.000, 0.425], [0.324, 0.324, 0.925], [0.676, 0.000, 0.925], [0.676, 0.676, 0.425]], "final_energy_ev_per_atom": -2.227, "magmom_total_mub_per_fu": 0.00}

=====

12.
{"formula": "Cs2K2IrO4", "functional": "PBE", "state": "relaxed", "lattice_angstrom": [[5.010, -3.268, 0.000], [5.010, 3.268, 0.000], [-1.842, 0.000, 5.709]], "species": ["Cs", "Cs", "K", "K", "Ir", "O", "O", "O", "O"], "fractional_positions": [[0.115, 0.115, 0.314], [0.885, 0.885, 0.686], [0.306, 0.306, 0.902], [0.694, 0.694, 0.098], [0.500, 0.500, 0.500], [0.182, 0.599, 0.294], [0.401, 0.818, 0.706], [0.599, 0.182, 0.294], [0.818, 0.401, 0.706]], "relative_energy_kj_per_mol_fu": 0, "magmom_total_mub_per_fu": 3.00}